Pr3AlCu3 | GGA-PBE | relaxed

```
data_Pr3AlCu3
_cell_length_a 4.2688
_cell_length_b 10.6551
_cell_length_c 13.9453
_cell_angle_alpha 90.00
_cell_angle_beta 90.00
_cell_angle_gamma 90.00
_symmetry_space_group_name_H-M 'C m c m'
_symmetry_Int_Tables_number 63
_symmetry_space_group_name_Hall '-C 2c 2'
loop_
_atom_site_label
_atom_site_type_symbol
_atom_site_fract_x
_atom_site_fract_y
_atom_site_fract_z
_atom_site_occupancy
Pr1 Pr 0.0000 0.0039 0.2500 1
Pr2 Pr 0.0000 0.2893 0.1028 1
Al1 Al 0.0000 0.0000 0.0000 1
Cu1 Cu 0.0000 0.2958 0.7500 1
Cu2 Cu 0.0000 0.4268 0.5904 1
```

Computed properties:
The calculation puts the total energy at -128.5 eV/cell. The density of states at the Fermi level comes out at 25.581 states/eV/cell. The energy of formation from the pure elements is -0.251 eV per atom. For the total magnetization, the calculation gives 0.00 μB/f.u.

Nb2CuBN | GGA-PBE | relaxed

```
data_Nb2CuBN
_cell_length_a 4.5518
_cell_length_b 4.5518
_cell_length_c 2.8984
_cell_angle_alpha 90.00
_cell_angle_beta 90.00
_cell_angle_gamma 90.00
_symmetry_space_group_name_H-M 'P 4/m m m'
_symmetry_Int_Tables_number 123
_symmetry_space_group_name_Hall '-P 4 2'
loop_
_atom_site_label
_atom_site_type_symbol
_atom_site_fract_x
_atom_site_fract_y
_atom_site_fract_z
_atom_site_occupancy
Nb1 Nb 0.0000 0.5000 0.0000 1
Cu1 Cu 0.0000 0.0000 0.5000 1
B1 B 0.5000 0.5000 0.5000 1
N1 N 0.5000 0.5000 0.0000 1
```

Computed properties:
The calculation puts the total energy at -39.1 eV/cell. The density of states at the Fermi level comes out at 3.627 states/eV/cell. The value obtained for the formation energy from raw total energies is 21.6 meV per atom. For the total magnetization, the calculation gives 0.00 μB/f.u.

Tl2InSnH | GGA-PBE | relaxed

```
data_Tl2InSnH
_cell_length_a 5.2194
_cell_length_b 5.2194
_cell_length_c 4.4812
_cell_angle_alpha 90.00
_cell_angle_beta 90.00
_cell_angle_gamma 90.00
_symmetry_space_group_name_H-M 'P 4/m m m'
_symmetry_Int_Tables_number 123
_symmetry_space_group_name_Hall '-P 4 2'
loop_
_atom_site_label
_atom_site_type_symbol
_atom_site_fract_x
_atom_site_fract_y
_atom_site_fract_z
_atom_site_occupancy
Tl1 Tl 0.0000 0.5000 0.0000 1
In1 In 0.0000 0.0000 0.5000 1
Sn1 Sn 0.5000 0.5000 0.5000 1
H1 H 0.5000 0.5000 0.0000 1
```

Computed properties:
The calculation puts the total energy at -13.8 eV/cell. The density of states at the Fermi level comes out at 2.588 states/eV/cell. For the total magnetization, the calculation gives 0.00 μB/f.u.

La2NdDySe5 | GGA-PBE | relaxed

```
data_La2NdDySe5
_cell_length_a 4.1630
_cell_length_b 17.6540
_cell_length_c 14.0702
_cell_angle_alpha 90.00
_cell_angle_beta 90.00
_cell_angle_gamma 90.00
_symmetry_space_group_name_H-M 'C m c 21'
_symmetry_Int_Tables_number 36
loop_
_symmetry_equiv_pos_as_xyz
'x,y,z'
'-x,-y,z+1/2'
'-x,y,z'
'x,-y,z+1/2'
'x+1/2,y+1/2,z'
'-x+1/2,-y+1/2,z+1/2'
'-x+1/2,y+1/2,z'
'x+1/2,-y+1/2,z+1/2'
loop_
_atom_site_label
_atom_site_type_symbol
_atom_site_fract_x
_atom_site_fract_y
_atom_site_fract_z
_atom_site_occupancy
La1 La 0.0000 0.0823 0.0000 1
La2 La 0.0000 0.1347 0.6661 1
Nd1 Nd 0.0000 0.4456 0.8088 1
Dy1 Dy 0.0000 0.2327 0.3979 1
Se1 Se 0.0000 0.0795 0.4463 1
Se2 Se 0.0000 0.2538 0.0438 1
Se3 Se 0.0000 0.2888 0.7586 1
Se4 Se 0.0000 0.3869 0.3424 1
Se5 Se 0.0000 0.4961 0.1202 1
```

Computed properties:
The calculation puts the total energy at -212.4 eV/cell. The density of states at the Fermi level comes out at 11.798 states/eV/cell. The value obtained for the formation energy from raw total energies is -1829.3 meV per atom. For the total magnetization, the calculation gives 0.00 μB/f.u.

Ce2PuCu | GGA-PBE | relaxed

```
data_Ce2PuCu
_cell_length_a 5.2667
_cell_length_b 5.2667
_cell_length_c 3.1857
_cell_angle_alpha 90.00
_cell_angle_beta 90.00
_cell_angle_gamma 90.00
_symmetry_space_group_name_H-M 'P 4/m m m'
_symmetry_Int_Tables_number 123
_symmetry_space_group_name_Hall '-P 4 2'
loop_
_atom_site_label
_atom_site_type_symbol
_atom_site_fract_x
_atom_site_fract_y
_atom_site_fract_z
_atom_site_occupancy
Ce1 Ce 0.0000 0.5000 0.0000 1
Pu1 Pu 0.0000 0.0000 0.5000 1
Cu1 Cu 0.5000 0.5000 0.5000 1
```

Computed properties:
The calculation puts the total energy at -30.2 eV/cell. The density of states at the Fermi level comes out at 7.115 states/eV/cell. The energy of formation from the pure elements is 0.012 eV per atom. For the total magnetization, the calculation gives 5.01 μB/f.u.

Ba3C2O8 | GGA-PBE | relaxed

```
data_Ba3C2O8
_cell_length_a 5.4914
_cell_length_b 5.4914
_cell_length_c 21.3911
_cell_angle_alpha 90.00
_cell_angle_beta 90.00
_cell_angle_gamma 120.00
_symmetry_space_group_name_H-M 'R -3 m'
_symmetry_Int_Tables_number 166
_symmetry_space_group_name_Hall '-R 3 2"'
loop_
_atom_site_label
_atom_site_type_symbol
_atom_site_fract_x
_atom_site_fract_y
_atom_site_fract_z
_atom_site_occupancy
Ba1 Ba 0.0000 0.0000 0.0000 1
Ba2 Ba 0.0000 0.0000 0.2131 1
C1 C 0.0000 0.0000 0.4113 1
O1 O 0.0000 0.0000 0.3455 1
O2 O 0.0525 0.5262 0.2356 1
```

Computed properties:
The calculation puts the total energy at -265.4 eV/cell. The density of states at the Fermi level comes out at 28.977 states/eV/cell. The value obtained for the formation energy from raw total energies is -1890.7 meV per atom. For the total magnetization, the calculation gives 2.01 μB/f.u.